The following is a DFT calculation (PBE-GGA) of an optimized crystal structure of BeSbPd5.

a b c (Å): 5.2828 5.2828 9.4554
angles (deg): 70.87 70.87 87.01
With the nearest neighbours (Å) after each atom.
Atoms (fractional coordinates):
Be1 0.0000 0.0000 0.0000  6 Pd 2.31-2.51
Be2 0.0000 0.0000 0.5000  6 Pd 2.31-2.51
Sb1 0.7558 0.2442 0.2500  7 Pd 2.61-2.83
Sb2 0.2442 0.7558 0.7500  7 Pd 2.61-2.83
Pd1 0.6486 0.7521 0.2148  1 Be 2.31
Pd2 0.2390 0.5919 0.5152  1 Be 2.43, 1 Sb 2.64, 1 Pd 2.72
Pd3 0.7521 0.6486 0.7148  1 Be 2.31
Pd4 0.1150 0.8850 0.2500  2 Be 2.51, 1 Sb 2.61, 6 Pd 2.75-2.81
Pd5 0.4081 0.7610 0.9848  1 Be 2.43, 1 Sb 2.64, 1 Pd 2.72
Pd6 0.5919 0.2390 0.0152  1 Be 2.43, 1 Sb 2.64, 1 Pd 2.72
Pd7 0.8850 0.1150 0.7500  2 Be 2.51, 1 Sb 2.61, 6 Pd 2.75-2.81
Pd8 0.2479 0.3514 0.2852  1 Be 2.31
Pd9 0.7610 0.4081 0.4848  1 Be 2.43, 1 Sb 2.64, 1 Pd 2.72
Pd10 0.3514 0.2479 0.7852  1 Be 2.31

Uncorrected formation energy ... -0.191 eV/atom
Total energy ... -5.021 eV per atom
Symmetry ... No. 15